InHgMo2, optimized geometry, DFT PBE; offset from the most stable computed form = 214 meV per atom; formation energy = 12.3 kcal/mol of atoms; size of the total moment = 0.0 Bohr magnetons per cell
1.0
3.475 0.000 0.000
0.000 4.491 0.000
0.000 0.000 4.677
Hg In Mo
1 1 2
Direct
0.500 0.000 0.500
0.000 0.500 0.500
0.000 0.000 0.000
0.500 0.500 0.000

InHgMo2, optimized geometry, DFT PBE; offset from the most stable computed form = 393 meV per atom; formation energy = 16.5 kcal/mol of atoms; size of the total moment = 0.0 Bohr magnetons per cell
1.0
0.000 3.304 3.304
3.304 0.000 3.304
3.304 3.304 0.000
Mo Hg In
2 1 1
Direct
0.250 0.250 0.250
0.750 0.750 0.750
0.500 0.500 0.500
0.000 0.000 0.000

InHgMo2, optimized geometry, DFT PBE; offset from the most stable computed form = 41 meV per atom; formation energy = 8.4 kcal/mol of atoms; size of the total moment = 0.0 Bohr magnetons per cell
1.0
2.958 0.004 0.000
-1.164 2.719 0.000
0.000 0.000 9.688
Hg In Mo
1 1 2
Direct
0.000 0.000 0.482
0.500 0.500 0.770
0.000 0.000 0.024
0.500 0.500 0.225

InHg2Mo, optimized geometry, DFT PBE; formation energy = 10.9 kcal/mol of atoms; size of the total moment = 0.0 Bohr magnetons per cell
1.0
5.371 0.005 0.000
-2.137 4.928 0.000
0.000 0.000 3.054
Hg In Mo
2 1 1
Direct
0.000 0.000 0.000
0.500 0.500 0.000
0.500 0.000 0.500
0.000 0.500 0.500

InHg2Mo, optimized geometry, DFT PBE; formation energy = 15.4 kcal/mol of atoms; size of the total moment = 2.0 Bohr magnetons per cell
1.0
4.121 0.000 0.000
0.000 4.121 0.000
2.061 2.061 10.569
Mo Hg In
2 4 2
Direct
0.500 0.500 0.000
0.250 0.750 0.500
0.613 0.125 0.250
0.137 0.625 0.250
0.375 0.387 0.750
0.875 0.863 0.750
0.000 0.000 0.000
0.750 0.250 0.500

InHg2Mo, optimized geometry, DFT PBE; formation energy = 12.1 kcal/mol of atoms; size of the total moment = 0.9 Bohr magnetons per cell
1.0
5.698 0.000 0.000
2.770 4.980 0.000
-4.234 -2.490 2.889
Hg In Mo
2 1 1
Direct
0.000 0.000 0.000
0.500 0.500 0.000
0.250 0.750 0.500
0.750 0.250 0.500

InHg2Mo, optimized geometry, DFT PBE; formation energy = 13.0 kcal/mol of atoms; size of the total moment = 0.5 Bohr magnetons per cell
1.0
3.120 0.000 0.000
0.000 4.369 0.000
0.000 0.000 6.033
Hg In Mo
2 1 1
Direct
0.000 0.000 0.985
0.000 0.000 0.515
0.500 0.500 0.250
0.500 0.500 0.750

InHg2Mo, optimized geometry, DFT PBE; formation energy = 10.7 kcal/mol of atoms; size of the total moment = 0.0 Bohr magnetons per cell
1.0
6.053 0.000 0.004
-2.977 5.270 0.004
0.791 1.355 2.603
Hg In Mo
2 1 1
Direct
0.000 0.000 0.000
0.500 0.500 0.000
0.500 0.000 0.500
0.000 0.500 0.500